Record 1
Entry from Alexandria: a geometry-optimized MgSb2Pt structure (PBE-GGA).

Summary:
The magnetic moment is 0.000 μB/cell. Its raw formation energy is -0.098 eV/atom.

abc: 3.384 3.384 7.805
angles: 90.00 90.00 90.00
Sites, in units of the cell vectors:
Mg1 0.000 0.000 0.000
Sb1 0.500 0.500 0.283
Sb2 0.500 0.500 0.717
Pt1 0.000 0.000 0.500


Record 2
Entry from Alexandria: a geometry-optimized YHf2Ir2 structure (PBE-GGA).

Summary:
The value obtained for the formation energy is -0.3190 eV/atom. For the relative energy among the computed polymorphs, the calculation gives 511 meV/atom. The magnetic moment is 0.000 μB/cell.

abc: 6.992 6.992 6.992
angles: 144.71 144.71 50.77
Sites, in units of the cell vectors:
Y1 0.000 0.000 0.000
Hf1 0.372 0.372 0.000
Hf2 0.628 0.628 0.000
Ir1 0.250 0.750 0.500
Ir2 0.750 0.250 0.500


Record 3
Entry from Alexandria: a geometry-optimized LiSbF5 structure (PBE-GGA).

Summary:
The magnetic moment is 0.000 μB/cell. Its raw formation energy is -2.442 eV/atom.

abc: 5.705 5.705 8.298
angles: 112.13 112.13 84.47
Sites, in units of the cell vectors:
Li1 0.152 0.848 0.750
Li2 0.848 0.152 0.250
Sb1 0.000 0.500 0.000
Sb2 0.500 0.000 0.500
F1 0.155 0.599 0.851
F2 0.170 0.177 0.450
F3 0.177 0.170 0.950
F4 0.309 0.691 0.250
F5 0.401 0.845 0.649
F6 0.599 0.155 0.351
F7 0.691 0.309 0.750
F8 0.823 0.830 0.050
F9 0.830 0.823 0.550
F10 0.845 0.401 0.149


Record 4
Entry from Alexandria: a geometry-optimized CdMo3Pt structure (PBE-GGA).

Summary:
The value obtained for the formation energy is 1.6234 eV/atom. For the relative energy among the computed polymorphs, the calculation gives 0 meV/atom. The magnetic moment is 0.620 μB/cell.

abc: 4.811 4.811 4.811
angles: 90.00 90.00 90.00
Sites, in units of the cell vectors:
Cd1 0.000 0.000 0.000
Mo1 0.000 0.500 0.500
Mo2 0.500 0.000 0.500
Mo3 0.500 0.500 0.000
Pt1 0.500 0.500 0.500


Record 5
Entry from Alexandria: a geometry-optimized Y3ErZn structure (PBE-GGA).

Summary:
The value obtained for the formation energy is 0.0426 eV/atom. For the relative energy among the computed polymorphs, the calculation gives 174 meV/atom. The magnetic moment is 0.000 μB/cell.

abc: 7.188 7.188 7.747
angles: 118.51 118.51 73.04
Sites, in units of the cell vectors:
Y1 0.045 0.045 0.309
Y2 0.105 0.504 0.277
Y3 0.496 0.895 0.723
Y4 0.504 0.105 0.277
Y5 0.895 0.496 0.723
Y6 0.955 0.955 0.691
Er1 0.420 0.420 0.728
Er2 0.580 0.580 0.272
Zn1 0.271 0.271 0.928
Zn2 0.729 0.729 0.072


Record 6
Entry from Alexandria: a geometry-optimized NaBr3 structure (PBE-GGA).

Summary:
For the relative energy among the computed polymorphs, the calculation gives 339 meV/atom. The magnetic moment is 0.000 μB/cell. Its raw formation energy is -0.424 eV/atom.

abc: 9.987 9.987 9.987
angles: 147.94 147.94 45.97
Sites, in units of the cell vectors:
Na1 0.000 0.000 0.000
Na2 0.750 0.250 0.500
Br1 0.144 0.625 0.019
Br2 0.250 0.750 0.500
Br3 0.375 0.394 0.519
Br4 0.500 0.500 0.000
Br5 0.606 0.125 0.981
Br6 0.875 0.856 0.481


> Among the records above, which one has the highest magnetic moment?

CdMo3Pt